Entry 1:
KPmTeSe | PBE | optimized geometry

Properties
spin magnetization	0.00	μB per cell
calculated total energy	-18.7	eV/cell
formation energy (no corrections)	-1548	meV/atom

Cell lengths 4.414, 4.414, 8.607 Å; angles 90.02, 104.85, 119.99 degrees
Element x y z (fractional)
Pm: 0.293 0.544 0.853
K: 0.972 0.385 0.372
Te: 0.112 0.954 0.081
Se: 0.500 0.148 0.663

***

Entry 2:
CeDy3F | PBE | optimized geometry

Properties
spin magnetization	0.95	μB per cell
calculated total energy	-25.9	eV/cell
formation energy (no corrections)	-862	meV/atom

Cell lengths 5.038, 5.038, 5.038 Å; angles 90.00, 90.00, 90.00 degrees
Each line ends with the local moment (μB).
Element x y z (fractional)
Ce: 0.500 0.500 0.500  0.73
Dy: 0.500 0.000 0.000  0.03
Dy: 0.000 0.500 0.000  0.03
F: 0.000 0.000 0.000  0.00
Dy: 0.000 0.000 0.500  0.03

***

Entry 3:
PaBe2Si2 | PBE | optimized geometry

Properties
spin magnetization	0.00	μB per cell
calculated total energy	-29.0	eV/cell
formation energy (no corrections)	-238	meV/atom

Cell lengths 4.040, 4.040, 5.259 Å; angles 112.59, 112.59, 89.99 degrees
Element x y z (fractional)
Be: 0.122 0.622 0.745
Si: 0.250 0.250 0.000
Si: 0.750 0.750 0.000
Pa: 0.500 0.000 0.500
Be: 0.878 0.378 0.255

***

Entry 4:
Na2Ce3S6 | PBE | optimized geometry

Properties
spin magnetization	2.02	μB per cell
calculated total energy	-64.6	eV/cell
formation energy (no corrections)	-1762	meV/atom

Cell lengths 7.181, 7.179, 7.022 Å; angles 80.26, 70.24, 59.99 degrees
Each line ends with the local moment (μB).
Element x y z (fractional)
S: 0.253 0.000 0.224  -0.02
Na: 0.832 0.336 0.500  0.00
S: 0.067 0.340 0.779  -0.02
S: 0.933 0.660 0.221  -0.02
S: 0.747 0.000 0.776  -0.02
S: 0.407 0.660 0.779  -0.02
Na: 0.168 0.664 0.500  0.00
Ce: 0.335 0.330 0.000  0.68
Ce: 0.665 0.670 0.000  0.68
Ce: 0.000 0.000 0.000  0.68
S: 0.593 0.340 0.221  -0.02

***

Entry 5:
Pr3PuTe6 | PBE | optimized geometry

Properties
spin magnetization	10.01	μB per cell
calculated total energy	-120.9	eV/cell
formation energy (no corrections)	-1292	meV/atom

Cell lengths 4.490, 12.798, 13.140 Å; angles 109.08, 90.00, 90.00 degrees
Each line ends with the local moment (μB).
Element x y z (fractional)
Pu: 0.250 0.958 0.310  5.25
Te: 0.250 0.890 0.537  -0.11
Te: 0.750 0.486 0.620  -0.01
Pr: 0.750 0.423 0.832  0.00
Pr: 0.750 0.155 0.076  0.00
Te: 0.250 0.514 0.380  -0.01
Pr: 0.250 0.318 0.497  0.00
Te: 0.250 0.188 0.249  -0.05
Te: 0.250 0.243 0.716  -0.05
Te: 0.750 0.812 0.751  -0.05
Te: 0.750 0.398 0.068  -0.01
Te: 0.750 0.757 0.284  -0.05
Te: 0.250 0.083 0.893  -0.05
Pr: 0.250 0.845 0.924  0.00
Pr: 0.250 0.577 0.168  0.00
Pu: 0.750 0.042 0.690  5.25
Te: 0.750 0.110 0.463  -0.11
Te: 0.750 0.917 0.107  -0.05
Te: 0.250 0.602 0.932  -0.01
Pr: 0.750 0.682 0.503  0.00

***

Entry 6:
HPdPt2 | PBE | optimized geometry

Properties
spin magnetization	0.00	μB per cell
E above lowest polymorph	0.60	eV/f.u.
calculated total energy	-40.0	eV/cell

Cell lengths 6.161, 6.161, 5.136 Å; angles 53.15, 53.15, 90.00 degrees
Element x y z (fractional)
H: 0.500 0.500 0.000
Pd: 0.750 0.250 0.500
Pt: 0.875 0.770 0.750
Pt: 0.230 0.625 0.250
Pd: 0.000 0.000 0.000
H: 0.250 0.750 0.500
Pt: 0.520 0.125 0.250
Pt: 0.375 0.480 0.750

***

Entry 7:
CrIr | PBE | optimized geometry

Properties
spin magnetization	0.00	μB per cell
calculated total energy	-56.4	eV/cell

Cell lengths 2.681, 5.016, 6.294 Å; angles 76.31, 90.00, 105.50 degrees
Element x y z (fractional)
Ir: 0.045 0.090 0.389
Cr: 0.389 0.778 0.723
Ir: 0.669 0.338 0.666
Cr: 0.004 0.008 0.001
Ir: 0.730 0.461 0.054
Cr: 0.330 0.659 0.333

***

Entry 8:
SbWCl2 | PBE | optimized geometry

Properties
spin magnetization	0.00	μB per cell
E above lowest polymorph	2.04	eV/f.u.
calculated total energy	-19.2	eV/cell
formation energy (no corrections)	381	meV/atom

Cell lengths 3.360, 3.355, 7.447 Å; angles 90.00, 90.00, 90.00 degrees
Element x y z (fractional)
Cl: 0.500 0.500 0.169
Sb: 0.000 0.000 0.557
W: 0.500 0.500 0.824
Cl: 0.000 0.000 0.950

***

Entry 9:
CrFe2Au | PBE | optimized geometry

Properties
spin magnetization	15.17	μB per cell
calculated total energy	-53.9	eV/cell

Cell lengths 3.663, 3.663, 9.368 Å; angles 78.72, 78.72, 90.00 degrees
Each line ends with the local moment (μB).
Element x y z (fractional)
Au: 0.750 0.250 0.500  0.10
Fe: 0.875 0.845 0.750  2.37
Fe: 0.375 0.405 0.750  2.37
Fe: 0.155 0.625 0.250  2.37
Au: 0.000 0.000 0.000  0.10
Cr: 0.500 0.500 0.000  2.55
Fe: 0.595 0.125 0.250  2.37
Cr: 0.250 0.750 0.500  2.55

***

Entry 10:
Y3Sc2Hg3 | PBE | optimized geometry

Properties
spin magnetization	0.00	μB per cell
calculated total energy	-35.9	eV/cell

Cell lengths 3.664, 5.193, 11.254 Å; angles 103.34, 99.37, 90.00 degrees
Element x y z (fractional)
Y: 0.500 0.000 0.000
Hg: 0.000 0.500 0.000
Y: 0.375 0.375 0.750
Y: 0.625 0.625 0.250
Hg: 0.873 0.873 0.746
Sc: 0.265 0.765 0.529
Hg: 0.127 0.127 0.254
Sc: 0.735 0.235 0.471

***

Entry 11:
IrSeO2 | PBE | optimized geometry

Properties
spin magnetization	0.00	μB per cell
calculated total energy	-41.4	eV/cell
formation energy (no corrections)	395	meV/atom

Cell lengths 5.990, 5.990, 5.723 Å; angles 58.45, 58.45, 90.00 degrees
Element x y z (fractional)
O: 0.375 0.240 0.750
Se: 0.250 0.750 0.500
Ir: 0.000 0.000 0.000
Ir: 0.750 0.250 0.500
Se: 0.500 0.500 0.000
O: 0.760 0.125 0.250
O: 0.990 0.625 0.250
O: 0.875 0.010 0.750

***

Entry 12:
LiAgW | PBE | optimized geometry

Properties
spin magnetization	0.00	μB per cell
E above lowest polymorph	0.03	eV/f.u.
calculated total energy	-16.5	eV/cell

Cell lengths 2.773, 2.773, 7.364 Å; angles 90.00, 90.00, 120.00 degrees
Element x y z (fractional)
Ag: 0.000 0.000 0.007
Li: 0.667 0.333 0.328
W: 0.333 0.667 0.665